1.
TiSnI2O: optimized geometry, GGA-PBE.

## Properties
- crystal system = tetragonal
- space-group type = P4/mmm
- E (eV/cell) = -19.9

The structure in POSCAR format:
```
TiSnI2O
1.0
6.140 0.000 0.000
0.000 6.140 0.000
0.000 0.000 4.031
Ti Sn I O
1 1 2 1
Direct
0.000 0.000 0.000 Ti
0.500 0.500 0.500 Sn
0.000 0.500 0.500 I
0.500 0.000 0.500 I
0.500 0.500 0.000 O
```



2.
TlSnIO6: optimized geometry, GGA-PBE.

## Properties
- crystal system = trigonal
- space-group type = P312
- E (eV/cell) = -45.0

The structure in POSCAR format:
```
TlSnIO6
1.0
5.390 0.000 0.000
-2.695 4.668 0.000
0.000 0.000 6.273
Tl Sn I O
1 1 1 6
Direct
0.000 0.000 0.000 Tl
0.667 0.333 0.500 Sn
0.333 0.667 0.500 I
0.025 0.395 0.322 O
0.025 0.630 0.678 O
0.370 0.395 0.678 O
0.370 0.975 0.322 O
0.605 0.630 0.322 O
0.605 0.975 0.678 O
```



Values for ρ, g/cm³, ordered as above
4.8; 5.7
Values for ΔE_f (raw), eV/atom, ordered as above
0.003; -0.814